Record 1
{"formula": "Pu2CuHgO8", "functional": "GGA-PBE", "state": "relaxed", "lattice_angstrom": [[4.856, -0.212, -0.003], [-0.162, 4.858, -0.005], [0.004, 0.008, 7.163]], "species": ["O", "O", "O", "O", "O", "O", "O", "O", "Hg", "Pu", "Pu", "Cu"], "fractional_positions": [[0.294, 0.294, 0.000], [0.762, 0.239, 0.232], [0.688, 0.688, 0.500], [0.762, 0.239, 0.768], [0.238, 0.761, 0.232], [0.312, 0.312, 0.500], [0.238, 0.761, 0.768], [0.706, 0.706, 0.000], [0.000, 0.000, 0.500], [0.500, 0.500, 0.240], [0.500, 0.500, 0.760], [0.000, 0.000, 0.000]], "e_tot_ha_per_atom": -0.2875, "magnetic_moment_mub_per_fu": 3.0, "spacegroup": "No. 65"}

---

Record 2
{"formula": "PuCu2Hg2O6", "functional": "GGA-PBE", "state": "relaxed", "lattice_angstrom": [[-2.651, -3.074, 3.471], [0.845, -1.696, -4.993], [7.321, 0.276, 3.069]], "species": ["O", "O", "O", "O", "O", "O", "Cu", "Cu", "Hg", "Hg", "Pu"], "fractional_positions": [[0.441, 0.117, 0.650], [0.117, 0.441, 0.650], [0.883, 0.559, 0.350], [0.206, 0.206, 0.337], [0.559, 0.883, 0.350], [0.794, 0.794, 0.663], [0.334, 0.666, 0.500], [0.666, 0.334, 0.500], [0.795, 0.205, 0.000], [0.205, 0.795, 0.000], [0.000, 0.000, 0.500]], "e_tot_ha_per_atom": -0.2151, "magnetic_moment_mub_per_fu": 0.8, "spacegroup": "No. 12"}

---

Record 3
{"formula": "RbCuHgO2", "functional": "GGA-PBE", "state": "relaxed", "lattice_angstrom": [[4.505, 0.000, 0.000], [0.000, 6.875, 0.000], [0.000, -3.437, 6.479]], "species": ["Rb", "Rb", "O", "O", "O", "O", "Hg", "Hg", "Cu", "Cu"], "fractional_positions": [[0.243, 0.750, 0.500], [0.757, 0.250, 0.500], [0.723, 0.897, 0.793], [0.723, 0.603, 0.207], [0.277, 0.103, 0.207], [0.277, 0.397, 0.793], [0.500, 0.250, 0.000], [0.500, 0.750, 0.000], [0.000, 0.500, 0.000], [0.000, 0.000, 0.000]], "e_tot_ha_per_atom": -0.1371, "magnetic_moment_mub_per_fu": 0.0, "spacegroup": "No. 67"}

---

Record 4
{"formula": "Rb5CuHgO2", "functional": "GGA-PBE", "state": "relaxed", "lattice_angstrom": [[5.805, 0.000, 0.000], [0.000, 5.805, 0.000], [0.000, 0.000, 9.474]], "species": ["Rb", "Rb", "Rb", "Rb", "Rb", "O", "O", "Hg", "Cu"], "fractional_positions": [[0.500, 0.000, 0.788], [0.000, 0.500, 0.788], [0.000, 0.000, 0.500], [0.000, 0.500, 0.212], [0.500, 0.000, 0.212], [0.000, 0.000, 0.192], [0.000, 0.000, 0.808], [0.500, 0.500, 0.500], [0.000, 0.000, 0.000]], "e_tot_ha_per_atom": -0.1036, "magnetic_moment_mub_per_fu": 0.0, "spacegroup": "No. 123"}